VASP calculation (PBE-GGA) on a relaxed Al6VOs crystal.

```
Al6VOs
1.0
6.155 0.919 0.000
2.393 5.000 0.000
1.196 2.500 4.393
Al Os V
6 1 1
direct
0.746 0.740 0.000 Al
0.251 0.768 0.503 Al
0.749 0.232 0.497 Al
0.749 0.729 0.503 Al
0.254 0.260 0.000 Al
0.251 0.271 0.497 Al
0.500 0.500 0.000 Os
0.000 0.000 0.000 V
```

Total magnetic moment   0.775 μB/f.u.
Energy relative to the elements   5 meV per atom



VASP calculation (PBE-GGA) on a relaxed Pr2In5Au3 crystal.

```
Pr2In5Au3
1.0
6.526 0.000 0.000
3.263 8.736 -0.342
3.263 1.009 8.684
In Au Pr
10 6 4
direct
0.750 0.500 0.500 In
0.007 0.243 0.243 In
0.993 0.757 0.757 In
0.891 0.962 0.255 In
0.609 0.745 0.038 In
0.493 0.757 0.757 In
0.391 0.255 0.962 In
0.507 0.243 0.243 In
0.109 0.038 0.745 In
0.250 0.500 0.500 In
0.370 0.498 0.762 Au
0.750 0.000 0.000 Au
0.630 0.502 0.238 Au
0.130 0.238 0.502 Au
0.250 0.000 0.000 Au
0.870 0.762 0.498 Au
0.131 0.613 0.126 Pr
0.369 0.874 0.387 Pr
0.869 0.387 0.874 Pr
0.631 0.126 0.613 Pr
```

ΔE to the lowest computed polymorph   53.7 meV per atom
Total magnetic moment   0.000 μB/f.u.
Energy relative to the elements   -482 meV per atom



VASP calculation (PBE-GGA) on a relaxed AgOsW2 crystal.

```
AgOsW2
1.0
9.717 0.005 0.003
9.315 2.768 0.003
9.315 1.357 2.412
W Ag Os
2 1 1
direct
0.004 0.004 0.004 W
0.252 0.252 0.252 W
0.499 0.499 0.499 Ag
0.745 0.745 0.745 Os
```

ΔE to the lowest computed polymorph   13.3 meV per atom
Total magnetic moment   0.000 μB/f.u.
Energy relative to the elements   375 meV per atom



VASP calculation (PBE-GGA) on a relaxed Tl4GeI6 crystal.

```
Tl4GeI6
1.0
9.345 0.000 0.000
0.000 9.345 0.000
0.000 0.000 10.135
Tl I Ge
8 12 2
direct
0.341 0.159 0.250 Tl
0.341 0.159 0.750 Tl
0.841 0.341 0.750 Tl
0.659 0.841 0.250 Tl
0.159 0.659 0.250 Tl
0.159 0.659 0.750 Tl
0.659 0.841 0.750 Tl
0.841 0.341 0.250 Tl
0.373 0.803 0.500 I
0.627 0.197 0.500 I
0.127 0.303 0.000 I
0.873 0.697 0.000 I
0.000 0.000 0.704 I
0.000 0.000 0.296 I
0.500 0.500 0.796 I
0.500 0.500 0.204 I
0.303 0.873 0.000 I
0.803 0.627 0.500 I
0.197 0.373 0.500 I
0.697 0.127 0.000 I
0.000 0.000 0.000 Ge
0.500 0.500 0.500 Ge
```

Total magnetic moment   0.000 μB/f.u.
ΔE_f (raw)   -0.559 eV/atom



VASP calculation (PBE-GGA) on a relaxed PdAu2C2 crystal.

```
PdAu2C2
1.0
7.047 0.000 0.000
0.000 7.047 0.000
0.000 0.000 2.931
Au Pd C
4 2 4
direct
0.139 0.361 0.000 Au
0.861 0.639 0.000 Au
0.361 0.861 0.000 Au
0.639 0.139 0.000 Au
0.500 0.500 0.000 Pd
0.000 0.000 0.000 Pd
0.207 0.707 0.500 C
0.707 0.793 0.500 C
0.293 0.207 0.500 C
0.793 0.293 0.500 C
```

ΔE to the lowest computed polymorph   252.3 meV per atom
Total magnetic moment   0.000 μB/f.u.
Energy relative to the elements   1941 meV per atom



VASP calculation (PBE-GGA) on a relaxed LiDySn crystal.

```
LiDySn
1.0
4.944 0.000 0.000
2.472 4.282 0.000
2.472 1.427 4.037
Li Dy Sn
1 1 1
direct
0.000 0.000 0.000 Li
0.500 0.500 0.500 Dy
0.250 0.250 0.250 Sn
```

Total magnetic moment   0.000 μB/f.u.
Energy relative to the elements   -433 meV per atom



Question: Number 6 is which compound?
Answer: LiDySn